Entry from Alexandria via LeMat-Bulk: NaHoVO4 after structural relaxation (PBE+U).

Unit cell a=5.8624 b=6.0210 c=6.7757 alpha=90.00 beta=113.34 gamma=90.00
Closest atoms and distances in Å follow each position.
Positions (direct):
1 Na 0.6772 0.7500 0.9560  2 O 2.27-2.30
2 Na 0.3228 0.2500 0.0440  2 O 2.27-2.30
3 Ho 0.8300 0.7500 0.4753  6 O 2.21-2.38
4 Ho 0.1700 0.2500 0.5247  6 O 2.21-2.38
5 V 0.2724 0.7500 0.3264  4 O 1.75-1.90
6 V 0.7276 0.2500 0.6736  4 O 1.75-1.90
7 O 0.9738 0.4658 0.6967  1 V 1.90
8 O 0.0262 0.9658 0.3033  1 V 1.90
9 O 0.0262 0.5342 0.3033  1 V 1.90
10 O 0.9738 0.0342 0.6967  1 V 1.90
11 O 0.4579 0.7500 0.1728  1 V 1.78
12 O 0.5421 0.2500 0.8272  1 V 1.78
13 O 0.4959 0.7500 0.5908  1 V 1.75
14 O 0.5041 0.2500 0.4092  1 V 1.75

Values from the calculation:
* DFT total energy: -100.073 eV per cell